VASP calculation (PBE-GGA) on ScMnCr2Sb after structural relaxation.

Computed properties:
**Space group**: P4/mmm
**ΔE_f (raw)**: 1.22 eV/atom

Cell: 4.908 4.670 4.908 Å, 90.00 90.00 90.00°
Atoms (fractional coordinates):
Sc: 0.500 0.500 0.500
Sb: 0.000 0.000 0.000
Mn: 0.000 0.500 0.000
Cr: 0.000 0.000 0.500
Cr: 0.500 0.000 0.000

=====

VASP calculation (PBE-GGA) on TaNi2Ru after structural relaxation.

Computed properties:
**Space group**: R-3m
**E_form**: 0.179 eV/atom
**Polymorph energy (0 for the lowest one)**: 0.5039 eV per atom

Cell: 8.781 8.781 8.781 Å, 17.76 17.76 17.76°
Atoms (fractional coordinates):
Ni: 0.997 0.997 0.997
Ni: 0.503 0.503 0.503
Ru: 0.250 0.250 0.250
Ta: 0.750 0.750 0.750

=====

VASP calculation (PBE-GGA) on AcPr2In after structural relaxation.

Computed properties:
**Space group**: P4/mmm
**E_form**: -0.231 eV/atom
**Polymorph energy (0 for the lowest one)**: 0.0000 eV per atom

Cell: 5.109 5.141 5.141 Å, 90.00 90.00 90.00°
Atoms (fractional coordinates):
Pr: 0.000 0.000 0.500
Pr: 0.000 0.500 0.000
Ac: 0.500 0.500 0.500
In: 0.500 0.000 0.000

=====

VASP calculation (PBE-GGA) on Sm5P4I after structural relaxation.

Computed properties:
**Space group**: C2/m
**ΔE_f (raw)**: -1.49 eV/atom

Cell: 4.140 7.251 9.378 Å, 75.89 77.25 73.41°
Atoms (fractional coordinates):
Sm: 0.211 0.903 0.675
Sm: 0.789 0.097 0.325
Sm: 0.385 0.351 0.878
Sm: 0.000 0.500 0.500
Sm: 0.615 0.649 0.122
P: 0.594 0.205 0.607
P: 0.209 0.380 0.202
P: 0.791 0.620 0.798
P: 0.406 0.795 0.393
I: 0.000 0.000 0.000

=====

VASP calculation (PBE-GGA) on TaMn2Cl after structural relaxation.

Computed properties:
**Space group**: P4/mmm
**ΔE_f (raw)**: 0.18 eV/atom
**Polymorph energy (0 for the lowest one)**: 0.1464 eV per atom

Cell: 3.070 3.070 7.309 Å, 90.00 90.00 90.00°
Atoms (fractional coordinates):
Cl: 0.500 0.500 0.750
Mn: 0.000 0.000 0.021
Mn: 0.000 0.000 0.479
Ta: 0.500 0.500 0.250

=====

VASP calculation (PBE-GGA) on Th2BiIr2 after structural relaxation.

Computed properties:
**Space group**: P4/mbm
**E_form**: -0.836 eV/atom

Cell: 3.750 8.003 8.003 Å, 90.00 90.00 90.00°
Atoms (fractional coordinates):
Th: 0.000 0.668 0.332
Th: 0.000 0.832 0.832
Th: 0.000 0.168 0.168
Th: 0.000 0.332 0.668
Bi: 0.500 0.500 0.000
Bi: 0.500 0.000 0.500
Ir: 0.500 0.370 0.370
Ir: 0.500 0.870 0.130
Ir: 0.500 0.130 0.870
Ir: 0.500 0.630 0.630

=====

VASP calculation (PBE-GGA) on YHo5 after structural relaxation.

Computed properties:
**Space group**: P2_1/m
**E_form**: 0.022 eV/atom
**Polymorph energy (0 for the lowest one)**: 0.0006 eV per atom

Cell: 6.124 7.075 10.573 Å, 90.00 90.00 125.30°
Atoms (fractional coordinates):
Y: 0.750 0.500 0.250
Y: 0.250 0.500 0.750
Ho: 0.750 0.000 0.250
Ho: 0.250 0.000 0.750
Ho: 0.250 0.000 0.417
Ho: 0.750 0.000 0.917
Ho: 0.750 0.000 0.583
Ho: 0.250 0.000 0.083
Ho: 0.250 0.500 0.417
Ho: 0.750 0.500 0.917
Ho: 0.750 0.500 0.583
Ho: 0.250 0.500 0.083

=====

VASP calculation (PBE-GGA) on Cs2RbSrCl after structural relaxation.

Computed properties:
**Space group**: P4/mmm
**ΔE_f (raw)**: -0.64 eV/atom
**Polymorph energy (0 for the lowest one)**: 0.0000 eV per atom

Cell: 7.705 7.705 5.906 Å, 90.00 90.00 90.00°
Atoms (fractional coordinates):
Cs: 0.000 0.500 0.000
Cs: 0.500 0.000 0.000
Sr: 0.000 0.000 0.500
Rb: 0.500 0.500 0.500
Cl: 0.000 0.000 0.000

=====

For each record above, in turn, the calculated total moment values are 7.11, 0.77, 0.00, 0.00, 6.24, 0.00, 0.00, 0.05 μB/cell.